First-principles (PBE+U) data for a relaxed structure of K3Rb3NiF8, as listed in Alexandria.

**Symmetry**: R-3m (166)
**Density**: 3.1 g/cm3
**Size of the total moment**: 0.13 μB per atom
**Electronic total energy**: -62.764 eV per cell

```
K3Rb3NiF8
1.0
-3.780 -2.087 -6.210
-3.057 -1.100 6.837
0.592 7.187 -2.775
F K Rb Ni
8 3 3 1
Direct
0.799 0.993 0.687
0.806 0.007 0.313
0.255 0.510 0.266
0.194 0.388 0.687
0.745 0.490 0.734
0.806 0.612 0.313
0.194 0.993 0.687
0.201 0.007 0.313
0.000 0.500 0.500
0.500 0.500 0.500
0.500 0.000 0.500
0.000 0.000 0.000
0.000 0.500 0.000
0.500 0.500 0.000
0.000 0.000 0.500
```